#i
GGA-PBE LaNi4Sn, optimized geometry; crystal system = orthorhombic; spin magnetization = 0.00 μB/f.u.; density = 8.3 g/cm³; DOS(E_F) = 9.1 states/eV/cell
1.0
-3.229 1.614 -1.781
-3.537 -3.147 3.561
1.664 5.342 6.374
La Ni Sn
2 8 2
direct
0.095 0.250 0.190 La
0.905 0.750 0.810 La
0.500 0.500 0.000 Ni
0.500 0.000 0.000 Ni
0.651 0.944 0.302 Ni
0.349 0.056 0.698 Ni
0.349 0.444 0.698 Ni
0.651 0.556 0.302 Ni
0.076 0.750 0.153 Ni
0.924 0.250 0.847 Ni
0.234 0.750 0.469 Sn
0.766 0.250 0.531 Sn

---

#ii
GGA-PBE LaNi4Sn, optimized geometry; crystal system = cubic; spin magnetization = 0.00 μB/f.u.; density = 8.7 g/cm³; DOS(E_F) = 6.6 states/eV/cell
1.0
-0.627 0.908 -4.982
2.731 -2.608 -3.432
-2.275 -3.478 -2.960
Ni Sn La
4 1 1
direct
0.626 0.626 0.121 Ni
0.626 0.121 0.626 Ni
0.626 0.626 0.626 Ni
0.121 0.626 0.626 Ni
0.000 0.000 0.000 Sn
0.250 0.250 0.250 La

---

Quick one: least stable of them? #i